Below is a relaxed structure of PuTh2Pa3P6, with properties calculated at the PBE level. Values from VASP.

Calculated values
- Raw total energy: -106.6 eV for the cell shown
- D(E_F): 13.642 states/eV/cell
- E_form: -1.375 eV/atom

```
&SYSTEM
  ibrav = 0, nat = 12, ntyp = 4
/
ATOMIC_SPECIES
Pu 244.00 Pu.upf
Th 232.04 Th.upf
Pa 231.04 Pa.upf
P 30.97 P.upf
CELL_PARAMETERS angstrom
4.0373 0.0000 0.0000
0.0000 8.0551 0.2762
-2.0187 -2.3321 8.4817
ATOMIC_POSITIONS angstrom
Pu 2.0187 0.0000 0.0000
Th 2.0187 3.8253 5.8592
Th 0.0000 1.8977 2.8986
Pa 2.0187 4.0276 0.1381
Pa 2.0187 -0.2211 5.6889
Pa 0.0000 5.9441 3.0689
P 0.0000 5.9025 5.9035
P 2.0187 3.9967 2.9427
P 2.0187 -0.1796 2.8543
P 2.0187 -0.2966 8.4860
P 0.0000 6.0196 0.2718
P 0.0000 1.7263 5.8151
```


Below is a relaxed structure of Pu3ThPa2P6, with properties calculated at the PBE level. Values from VASP.

Calculated values
- Raw total energy: -117.4 eV for the cell shown
- D(E_F): 23.369 states/eV/cell
- E_form: -1.296 eV/atom

```
&SYSTEM
  ibrav = 0, nat = 12, ntyp = 4
/
ATOMIC_SPECIES
Pu 244.00 Pu.upf
Th 232.04 Th.upf
Pa 231.04 Pa.upf
P 30.97 P.upf
CELL_PARAMETERS angstrom
6.9763 0.0001 0.0005
-3.4864 6.0427 0.0005
-1.1637 -2.0150 6.5227
ATOMIC_POSITIONS angstrom
Pu -2.3493 4.0424 3.2618
Pu 4.6755 -0.0147 3.2618
Pu 1.1631 2.0139 3.2618
Th 0.0000 0.0000 0.0000
Pa -0.0038 4.0314 0.0005
Pa 3.4937 2.0114 0.0005
P 3.5172 1.9607 4.8821
P 2.2954 3.9745 1.6329
P -1.1910 2.0671 1.6416
P -0.0594 4.0264 4.8821
P 0.0307 0.0532 4.8908
P 2.3856 0.0014 1.6416
```